[1]
Density functional theory data (PBE) for a relaxed structure of KGaCuP2.

abc: 5.414 5.452 5.414
angles: 90.00 90.00 90.00
Element x y z (fractional)
Cu 0.500 0.500 0.500
Ga 0.000 0.500 0.000
P 0.000 0.000 0.500
P 0.500 0.000 0.000
K 0.000 0.000 0.000

As for the density of states at the Fermi level: 4.9 states/eV per cell. For the formation energy, the calculation gives 1.8045 eV per atom. The total magnetization is 0.8 μB/f.u. The space group is P4/mmm.



[2]
Density functional theory data (PBE) for a relaxed structure of KGa2CuS.

abc: 4.724 4.724 5.212
angles: 90.00 90.00 90.00
Element x y z (fractional)
Cu 0.000 0.000 0.000
K 0.500 0.500 0.500
Ga 0.000 0.500 0.000
Ga 0.500 0.000 0.000
S 0.000 0.000 0.500

As for the density of states at the Fermi level: 2.1 states/eV per cell. The total magnetization is 0.0 μB/f.u. The space group is P4/mmm. The uncorrected formation energy is -95 meV per atom.